! Mg14AlCrO16 | the Alexandria database | GGA+U | relaxed; values from VASP
&SYSTEM
  ibrav = 0, nat = 32, ntyp = 4
/
ATOMIC_SPECIES
O 16.00 O.upf
Mg 24.30 Mg.upf
Cr 52.00 Cr.upf
Al 26.98 Al.upf
CELL_PARAMETERS angstrom
-3.7839 0.0924 -1.9614
-1.7990 -7.7633 3.1049
-3.5253 3.6050 6.9710
ATOMIC_POSITIONS angstrom
O -3.5667 -1.1542 6.8266
O -3.2176 -0.9874 1.5281
O -0.4259 -1.8380 0.7351
O -0.7563 0.7734 1.4955
O -2.2364 -0.2419 4.3032
O -1.7577 -3.0041 3.2494
O -5.8907 -3.0786 6.5865
O -3.6546 1.8487 2.5048
O -1.3731 -5.9253 2.3698
O -1.8920 0.0462 -0.9807
O -4.1215 -4.8878 3.0880
O -4.9868 0.8218 5.0265
O -2.7690 2.8316 5.4755
O -4.5541 -2.0330 4.0573
O -3.0879 -3.9164 5.7728
O -2.7915 -3.8354 0.5718
Mg -3.2411 -5.7756 1.3477
Mg -3.0866 0.7544 5.9903
Mg -3.9857 -3.1253 7.5420
Mg -5.0030 -3.9699 4.8320
Mg -4.1053 -0.0960 3.2826
Mg -5.4315 -1.1358 5.7922
Mg -2.7780 0.9523 0.7714
Mg -4.5312 2.7452 4.2383
Mg -0.8995 -3.8817 1.5525
Mg -1.3387 -1.0330 2.5339
Mg -2.2377 -4.9128 4.0856
Mg -2.3419 -1.8953 -0.2042
Mg -3.6768 -2.9301 2.3224
Mg -2.6622 -2.0792 5.0380
Cr -1.7626 1.8025 3.4855
Al 0.0000 0.0000 0.0000
! **Space-group type**: Pmmm, No. 47
! **M_tot**: 4.74 μB/f.u.
! **E_tot**: -6.10 eV/atom